Record 1
{"formula": "Ac3NdHo2", "functional": "PBE-GGA", "state": "optimized geometry", "cell": [[-6.818, -3.233, -0.363], [5.727, -3.247, -0.051], [-2.599, 4.185, 11.550]], "species": ["Ho", "Ho", "Ho", "Ho", "Nd", "Nd", "Ac", "Ac", "Ac", "Ac", "Ac", "Ac"], "fractional_positions": [[0.541, 0.331, 0.082], [0.790, 0.331, 0.582], [0.210, 0.669, 0.418], [0.459, 0.669, 0.918], [0.874, 0.000, 0.750], [0.126, 0.000, 0.250], [0.957, 0.665, 0.916], [0.292, 0.335, 0.584], [0.626, 0.000, 0.250], [0.374, 0.000, 0.750], [0.043, 0.335, 0.084], [0.708, 0.665, 0.416]], "total_energy_ev_per_atom": -4.305, "formation_enthalpy_0k_ev_per_atom": 0.0695}


Record 2
{"formula": "Nd5ReN6", "functional": "PBE-GGA", "state": "optimized geometry", "cell": [[-3.081, -1.578, 5.032], [-4.300, -4.115, -1.410], [1.286, -5.950, 0.178]], "species": ["Nd", "Nd", "Nd", "Nd", "Nd", "Re", "N", "N", "N", "N", "N", "N"], "fractional_positions": [[0.500, 0.836, 0.329], [0.500, 0.500, 0.000], [0.000, 0.334, 0.332], [0.500, 0.164, 0.671], [0.000, 0.666, 0.668], [0.000, 0.000, 0.000], [0.224, 0.926, 0.700], [0.776, 0.074, 0.300], [0.776, 0.374, 0.700], [0.224, 0.626, 0.300], [0.755, 0.766, 0.000], [0.245, 0.234, 0.000]], "total_energy_ev_per_atom": -8.155}


Record 3
{"formula": "TaSiOs", "functional": "PBE-GGA", "state": "optimized geometry", "cell": [[-1.565, -3.405, -1.929], [2.602, -2.787, -1.795], [0.510, -3.815, 1.716]], "species": ["Os", "Ta", "Si"], "fractional_positions": [[0.750, 0.750, 0.750], [0.500, 0.500, 0.500], [0.000, 0.000, 0.000]], "total_energy_ev_per_atom": -9.752}


Computed values of density of states at the Fermi level (unit: states/eV/cell) for the preceding records, in sequence: 21.650, 5.745, 3.725.
Computed values of calculated volume (unit: Å³ per atom) for the preceding records, in sequence: 38.50, 15.43, 17.64.